! AlMoCl2 PBE relaxed; values from VASP
&SYSTEM
  ibrav = 0, nat = 4, ntyp = 3
/
ATOMIC_SPECIES
Mo 95.94 Mo.upf
Al 26.98 Al.upf
Cl 35.45 Cl.upf
CELL_PARAMETERS angstrom
-0.6436 2.5375 1.8784
-2.1167 -1.4264 -1.9664
-2.5563 -5.7990 6.9580
ATOMIC_POSITIONS angstrom
Mo -2.0192 -0.8942 1.6955
Al -3.2974 -3.7937 5.1745
Cl -0.1054 -0.2391 0.2869
Cl -1.1727 -2.6604 3.1921
! - Formation energy from raw total energies: 0.044 eV per atom
! - V: 80.1 Å³ per cell
! - ΔE to the lowest computed polymorph: 445 meV/atom
! - Total magnetic moment: 1.266 Bohr magnetons per cell

! AlMoCl2 PBE relaxed; values from VASP
&SYSTEM
  ibrav = 0, nat = 4, ntyp = 3
/
ATOMIC_SPECIES
Mo 95.94 Mo.upf
Al 26.98 Al.upf
Cl 35.45 Cl.upf
CELL_PARAMETERS angstrom
-0.4113 -4.9559 3.8834
4.6557 -3.3215 2.6650
-2.1493 5.8244 -1.1259
ATOMIC_POSITIONS angstrom
Mo 2.1222 -4.1387 3.2742
Al -0.2192 -1.6351 3.0159
Cl 0.0000 0.0000 0.0000
Cl 2.3143 -0.8179 2.4067
! - Formation energy from raw total energies: 0.473 eV per atom
! - V: 84.8 Å³ per cell
! - ΔE to the lowest computed polymorph: 873 meV/atom
! - Total magnetic moment: 3.958 Bohr magnetons per cell

! AlMoCl PBE relaxed; values from VASP
&SYSTEM
  ibrav = 0, nat = 3, ntyp = 3
/
ATOMIC_SPECIES
Mo 95.94 Mo.upf
Al 26.98 Al.upf
Cl 35.45 Cl.upf
CELL_PARAMETERS angstrom
4.5051 0.0000 0.0000
2.2525 3.9015 0.0000
2.2525 1.3005 3.6784
ATOMIC_POSITIONS angstrom
Mo 6.7576 3.9015 2.7588
Al 0.0000 0.0000 0.0000
Cl 4.5051 2.6010 1.8392
! - Formation energy from raw total energies: 0.899 eV per atom
! - V: 64.7 Å³ per cell
! - ΔE to the lowest computed polymorph: 827 meV/atom
! - Total magnetic moment: 3.463 Bohr magnetons per cell

! AlMoCl2 PBE relaxed; values from VASP
&SYSTEM
  ibrav = 0, nat = 4, ntyp = 3
/
ATOMIC_SPECIES
Mo 95.94 Mo.upf
Al 26.98 Al.upf
Cl 35.45 Cl.upf
CELL_PARAMETERS angstrom
0.0000 3.2458 3.2458
3.2458 0.0000 3.2458
3.2458 3.2458 0.0000
ATOMIC_POSITIONS angstrom
Mo 3.2458 3.2458 3.2458
Al 0.0000 0.0000 0.0000
Cl 1.6229 1.6229 1.6229
Cl 4.8687 4.8687 4.8687
! - Formation energy from raw total energies: 0.537 eV per atom
! - V: 68.4 Å³ per cell
! - ΔE to the lowest computed polymorph: 938 meV/atom
! - Total magnetic moment: 1.502 Bohr magnetons per cell